Compound: Ga2CoHgGe
Source: Alexandria via LeMat-Bulk
Functional: PBE
Structure: optimized geometry

a = 4.677 Å, b = 4.677 Å, c = 4.506 Å
α = 90.00°, β = 90.00°, γ = 90.00°
Atoms (fractional coordinates):
Hg  0.500  0.500  0.500
Ge  0.000  0.000  0.500
Ga  0.000  0.500  0.000
Ga  0.500  0.000  0.000
Co  0.000  0.000  0.000

- DFT formation energy (eV/atom) = -0.034
- size of the total moment (Bohr magnetons per cell) = 0.000
- SG = No. 123
- Fermi-level density of states (states/eV/f.u.) = 1.92
- theoretical density (Mg/m³) = 7.95
- raw total energy (eV per cell) = -18.3

Compound: ThVCoP2
Source: Alexandria via LeMat-Bulk
Functional: PBE
Structure: optimized geometry

a = 3.834 Å, b = 3.834 Å, c = 6.188 Å
α = 108.05°, β = 108.05°, γ = 90.00°
Atoms (fractional coordinates):
Co  0.750  0.250  0.500
P  0.635  0.635  0.270
P  0.365  0.365  0.730
V  0.250  0.750  0.500
Th  0.000  0.000  0.000

- DFT formation energy (eV/atom) = -0.933
- size of the total moment (Bohr magnetons per cell) = 1.483
- SG = No. 119
- Fermi-level density of states (states/eV/f.u.) = 4.68
- theoretical density (Mg/m³) = 8.20
- raw total energy (eV per cell) = -39.1

Compound: LiMg2TcN4
Source: Alexandria via LeMat-Bulk
Functional: PBE
Structure: optimized geometry

a = 5.280 Å, b = 5.726 Å, c = 6.822 Å
α = 90.00°, β = 90.00°, γ = 90.00°
Atoms (fractional coordinates):
N  0.891  0.323  0.779
N  0.344  0.183  0.000
N  0.844  0.817  0.500
N  0.897  0.870  0.000
N  0.391  0.677  0.721
N  0.397  0.130  0.500
N  0.891  0.323  0.221
N  0.391  0.677  0.279
Mg  0.993  0.676  0.753
Mg  0.993  0.676  0.247
Mg  0.493  0.324  0.747
Mg  0.493  0.324  0.253
Tc  0.501  0.826  0.500
Tc  0.001  0.174  0.000
Li  0.490  0.843  0.000
Li  0.990  0.157  0.500

- size of the total moment (Bohr magnetons per cell) = 0.000
- SG = No. 31
- Fermi-level density of states (states/eV/f.u.) = 0.00
- theoretical density (Mg/m³) = 3.37
- raw total energy (eV per cell) = -106.1
- formation energy from raw total energies (eV per formula unit) = -4.28